Entry from Alexandria via LeMat-Bulk: crystalline LiPmAlH6 at its relaxed geometry (PBE-GGA).

The structure in POSCAR format:
```
LiPmAlH6
1.0
4.4390 0.0000 -0.0001
2.2195 3.8443 0.0001
0.0000 0.0000 4.6039
Li Pm Al H
1 1 1 6
direct
0.6666 0.6667 0.5000
0.0000 0.0000 0.0000
0.3333 0.3333 0.5000
0.0040 0.4974 0.2326
0.4974 0.0040 0.7673
0.4986 0.4973 0.7673
0.0040 0.4986 0.7673
0.4973 0.4987 0.2326
0.4985 0.0041 0.2326
```

Symmetry: P-6m2 (187)
N(E_F) in states/eV/f.u.: 1.36



Entry from Alexandria via LeMat-Bulk: crystalline LiPm2AlH at its relaxed geometry (PBE-GGA).

The structure in POSCAR format:
```
LiPm2AlH
1.0
-3.7755 1.0346 0.2591
-1.3701 -4.8539 -0.5819
0.1671 -0.6505 5.0324
Li Pm Al H
1 2 1 1
direct
0.5000 0.0000 0.0000
0.0000 0.0000 0.5000
0.0000 0.5000 0.0000
0.5000 0.5000 0.5000
0.0000 0.0000 0.0000
```

Symmetry: P4/mmm (123)
N(E_F) in states/eV/f.u.: 4.03



Entry from Alexandria via LeMat-Bulk: crystalline LiPr2AlH at its relaxed geometry (PBE-GGA).

The structure in POSCAR format:
```
LiPr2AlH
1.0
3.9628 0.0000 0.0000
0.0000 5.1622 0.0000
0.0000 0.0000 5.1622
Li Pr Al H
1 2 1 1
direct
0.5000 0.0000 0.0000
0.0000 0.0000 0.5000
0.0000 0.5000 0.0000
0.5000 0.5000 0.5000
0.0000 0.0000 0.0000
```

Symmetry: P4/mmm (123)
N(E_F) in states/eV/f.u.: 4.26



no.,E (eV per atom)
1,-3.632
2,-4.045
3,-4.046